Entry 1:
# TbAsHPd

A geometry-optimized TbAsHPd structure (PBE-GGA, the Alexandria database).

Cell lengths 4.327, 4.327, 3.872 Å; angles 90.00, 90.00, 120.00 degrees
Positions (direct):
Tb1 0.000 0.000 0.000
As1 0.333 0.667 0.527
H1 0.667 0.333 0.003
Pd1 0.667 0.333 0.477

Results
Total DFT energy (no corrections) = -21.39 eV for the cell shown



Entry 2:
# TaTc2Pt

A geometry-optimized TaTc2Pt structure (PBE-GGA, the Alexandria database).

Cell lengths 4.876, 4.876, 4.876 Å; angles 132.18, 132.18, 69.94 degrees
Positions (direct):
Ta1 0.000 0.000 0.000
Tc1 0.250 0.750 0.500
Tc2 0.750 0.250 0.500
Pt1 0.500 0.500 0.000

Results
ΔH_f (0 K) = -200 meV/atom



Entry 3:
# PaGaFe

A geometry-optimized PaGaFe structure (PBE-GGA, the Alexandria database).

Cell lengths 8.361, 4.475, 6.120 Å; angles 90.00, 90.00, 90.00 degrees
Positions (direct):
Pa1 0.155 0.250 0.075
Pa2 0.345 0.750 0.575
Pa3 0.655 0.250 0.425
Pa4 0.845 0.750 0.925
Ga1 0.075 0.250 0.578
Ga2 0.425 0.750 0.078
Ga3 0.575 0.250 0.922
Ga4 0.925 0.750 0.422
Fe1 0.110 0.750 0.774
Fe2 0.390 0.250 0.274
Fe3 0.610 0.750 0.726
Fe4 0.890 0.250 0.226

Results
ΔH_f (0 K) = -344 meV/atom



Entry 4:
# Hf6GePd12

A geometry-optimized Hf6GePd12 structure (PBE-GGA, the Alexandria database).

Cell lengths 6.937, 6.937, 6.937 Å; angles 93.72, 93.72, 93.72 degrees
Positions (direct):
Hf1 0.193 0.751 0.361
Hf2 0.249 0.639 0.807
Hf3 0.361 0.193 0.751
Hf4 0.639 0.807 0.249
Hf5 0.751 0.361 0.193
Hf6 0.807 0.249 0.639
Ge1 0.500 0.500 0.500
Pd1 0.032 0.957 0.708
Pd2 0.043 0.292 0.968
Pd3 0.140 0.374 0.466
Pd4 0.292 0.968 0.043
Pd5 0.374 0.466 0.140
Pd6 0.466 0.140 0.374
Pd7 0.534 0.860 0.626
Pd8 0.626 0.534 0.860
Pd9 0.708 0.032 0.957
Pd10 0.860 0.626 0.534
Pd11 0.957 0.708 0.032
Pd12 0.968 0.043 0.292

Results
ΔH_f (0 K) = -633 meV/atom



Entry 5:
# Mn3ZnOs

A geometry-optimized Mn3ZnOs structure (PBE-GGA, the Alexandria database).

Cell lengths 4.729, 4.729, 4.729 Å; angles 90.00, 90.00, 90.00 degrees
Positions (direct):
Mn1 0.000 0.000 0.500
Mn2 0.000 0.500 0.000
Mn3 0.500 0.000 0.000
Zn1 0.500 0.500 0.500
Os1 0.000 0.000 0.000

Results
ΔH_f (0 K) = 1225 meV/atom



Entry 6:
# Y4GaPd3

A geometry-optimized Y4GaPd3 structure (PBE-GGA, the Alexandria database).

Cell lengths 3.782, 4.500, 10.806 Å; angles 90.00, 90.00, 90.00 degrees
Positions (direct):
Y1 0.000 0.000 0.000
Y2 0.000 0.500 0.272
Y3 0.500 0.000 0.489
Y4 0.500 0.500 0.776
Ga1 0.000 0.000 0.713
Pd1 0.000 0.500 0.557
Pd2 0.500 0.000 0.220
Pd3 0.500 0.500 0.052

Results
ΔH_f (0 K) = -836 meV/atom



Entry 7:
# La8CdPb2

A geometry-optimized La8CdPb2 structure (PBE-GGA, the Alexandria database).

Cell lengths 9.319, 9.319, 9.319 Å; angles 147.57, 118.93, 70.86 degrees
Positions (direct):
La1 0.117 0.341 0.775
La2 0.147 0.147 0.000
La3 0.318 0.000 0.318
La4 0.434 0.659 0.775
La5 0.566 0.341 0.225
La6 0.682 0.000 0.682
La7 0.853 0.853 0.000
La8 0.883 0.659 0.225
Cd1 0.000 0.500 0.500
Pb1 0.304 0.804 0.500
Pb2 0.696 0.196 0.500

Results
ΔH_f (0 K) = -240 meV/atom



Entry 8:
# TlB2IO

A geometry-optimized TlB2IO structure (PBE-GGA, the Alexandria database).

Cell lengths 4.855, 4.855, 4.218 Å; angles 90.00, 90.00, 90.00 degrees
Positions (direct):
Tl1 0.000 0.000 0.000
B1 0.000 0.500 0.000
B2 0.500 0.000 0.000
I1 0.500 0.500 0.500
O1 0.000 0.000 0.500

Results
Total DFT energy (no corrections) = -14.45 eV for the cell shown



Entry 9:
# Ta4Os5

A geometry-optimized Ta4Os5 structure (PBE-GGA, the Alexandria database).

Cell lengths 6.347, 6.347, 6.347 Å; angles 95.64, 95.64, 143.45 degrees
Positions (direct):
Ta1 0.000 0.314 0.314
Ta2 0.000 0.686 0.686
Ta3 0.314 0.000 0.314
Ta4 0.686 0.000 0.686
Os1 0.000 0.000 0.000
Os2 0.337 0.337 0.674
Os3 0.337 0.663 0.000
Os4 0.663 0.337 0.000
Os5 0.663 0.663 0.326

Results
ΔH_f (0 K) = -222 meV/atom



Entry 10:
# Tm2SbIr

A geometry-optimized Tm2SbIr structure (PBE-GGA, the Alexandria database).

Cell lengths 3.499, 3.499, 7.483 Å; angles 90.00, 90.00, 90.00 degrees
Positions (direct):
Tm1 0.000 0.000 0.216
Tm2 0.000 0.000 0.784
Sb1 0.500 0.500 0.500
Ir1 0.500 0.500 0.000

Results
Total DFT energy (no corrections) = -25.19 eV for the cell shown



Entry 11:
# LiFe3Se

A geometry-optimized LiFe3Se structure (PBE-GGA, the Alexandria database).

Cell lengths 3.919, 3.919, 3.919 Å; angles 90.00, 90.00, 90.00 degrees
Positions (direct):
Li1 0.000 0.000 0.000
Fe1 0.000 0.000 0.500
Fe2 0.000 0.500 0.000
Fe3 0.500 0.000 0.000
Se1 0.500 0.500 0.500

Results
Total DFT energy (no corrections) = -23.95 eV for the cell shown



Entry 12:
# ErCo4Ru

A geometry-optimized ErCo4Ru structure (PBE-GGA, the Alexandria database).

Cell lengths 4.877, 4.877, 4.877 Å; angles 60.00, 60.00, 60.00 degrees
Positions (direct):
Er1 0.000 0.000 0.000
Co1 0.375 0.375 0.375
Co2 0.375 0.375 0.875
Co3 0.375 0.875 0.375
Co4 0.875 0.375 0.375
Ru1 0.750 0.750 0.750

Results
ΔH_f (0 K) = -53 meV/atom



Entry 13:
# LiVSe3

A geometry-optimized LiVSe3 structure (PBE-GGA, the Alexandria database).

Cell lengths 3.037, 6.491, 6.556 Å; angles 119.10, 101.64, 90.89 degrees
Positions (direct):
Li1 0.000 0.000 0.000
V1 0.114 0.662 0.286
Se1 0.483 0.639 0.970
Se2 0.640 0.375 0.314
Se3 0.795 0.975 0.578

Results
Total DFT energy (no corrections) = -25.10 eV for the cell shown



Entry 14:
# CuAsN2F

A geometry-optimized CuAsN2F structure (PBE-GGA, the Alexandria database).

Cell lengths 3.842, 3.842, 3.767 Å; angles 90.00, 90.00, 90.00 degrees
Positions (direct):
Cu1 0.000 0.000 0.000
As1 0.500 0.500 0.500
N1 0.000 0.500 0.000
N2 0.500 0.000 0.000
F1 0.000 0.000 0.500

Results
Total DFT energy (no corrections) = -22.35 eV for the cell shown



Entry 15:
# Sc7SCl12

A geometry-optimized Sc7SCl12 structure (PBE-GGA, the Alexandria database).

Cell lengths 8.247, 8.247, 8.247 Å; angles 107.51, 107.51, 107.51 degrees
Positions (direct):
Sc1 0.000 0.000 0.000
Sc2 0.182 0.392 0.468
Sc3 0.392 0.468 0.182
Sc4 0.468 0.182 0.392
Sc5 0.532 0.818 0.608
Sc6 0.608 0.532 0.818
Sc7 0.818 0.608 0.532
S1 0.500 0.500 0.500
Cl1 0.039 0.343 0.118
Cl2 0.118 0.039 0.343
Cl3 0.185 0.720 0.575
Cl4 0.280 0.425 0.815
Cl5 0.343 0.118 0.039
Cl6 0.425 0.815 0.280
Cl7 0.575 0.185 0.720
Cl8 0.657 0.882 0.961
Cl9 0.720 0.575 0.185
Cl10 0.815 0.280 0.425
Cl11 0.882 0.961 0.657
Cl12 0.961 0.657 0.882

Results
Total DFT energy (no corrections) = -109.20 eV for the cell shown



Entry 16:
# ZrReRu

A geometry-optimized ZrReRu structure (PBE-GGA, the Alexandria database).

Cell lengths 5.293, 5.293, 6.747 Å; angles 126.16, 126.16, 47.90 degrees
Positions (direct):
Zr1 0.062 0.062 0.311
Zr2 0.938 0.938 0.689
Re1 0.345 0.345 0.929
Re2 0.655 0.655 0.071
Ru1 0.332 0.332 0.289
Ru2 0.668 0.668 0.711

Results
ΔH_f (0 K) = -175 meV/atom



Entry 17:
# PuCu2I5

A geometry-optimized PuCu2I5 structure (PBE-GGA, the Alexandria database).

Cell lengths 8.009, 8.009, 7.599 Å; angles 117.37, 117.37, 61.75 degrees
Positions (direct):
Pu1 0.000 0.000 0.000
Cu1 0.086 0.651 0.539
Cu2 0.651 0.086 0.539
I1 0.264 0.264 0.376
I2 0.344 0.805 0.838
I3 0.751 0.751 0.601
I4 0.805 0.344 0.838
I5 0.892 0.892 0.267

Results
Total DFT energy (no corrections) = -34.44 eV for the cell shown



Entry 18:
# MgTcHPd2

A geometry-optimized MgTcHPd2 structure (PBE-GGA, the Alexandria database).

Cell lengths 4.193, 4.193, 3.765 Å; angles 90.00, 90.00, 90.00 degrees
Positions (direct):
Mg1 0.000 0.000 0.000
Tc1 0.500 0.500 0.000
H1 0.500 0.500 0.500
Pd1 0.000 0.500 0.500
Pd2 0.500 0.000 0.500

Results
Total DFT energy (no corrections) = -25.76 eV for the cell shown



Entry 19:
# Cs2SrSCl6

A geometry-optimized Cs2SrSCl6 structure (PBE-GGA, the Alexandria database).

Cell lengths 8.437, 8.437, 8.437 Å; angles 128.07, 128.07, 76.51 degrees
Positions (direct):
Cs1 0.250 0.750 0.500
Cs2 0.750 0.250 0.500
Sr1 0.000 0.000 0.000
S1 0.500 0.500 0.000
Cl1 0.212 0.212 0.000
Cl2 0.276 0.276 0.552
Cl3 0.276 0.724 0.000
Cl4 0.724 0.276 0.000
Cl5 0.724 0.724 0.448
Cl6 0.788 0.788 0.000

Results
Total DFT energy (no corrections) = -33.40 eV for the cell shown



Entry 20:
# TaIr2Cl

A geometry-optimized TaIr2Cl structure (PBE-GGA, the Alexandria database).

Cell lengths 4.823, 4.823, 4.823 Å; angles 129.85, 129.85, 73.64 degrees
Positions (direct):
Ta1 0.000 0.000 0.000
Ir1 0.250 0.750 0.500
Ir2 0.750 0.250 0.500
Cl1 0.500 0.500 0.000

Results
Total DFT energy (no corrections) = -29.74 eV for the cell shown